No. 1
DFT (GGA-PBE) results for crystalline DyPt at its relaxed geometry.

Calculated values
energy of formation from the pure elements	-0.50	eV per atom
total moment	0.07	μB per cell
calculated total energy	-5.83	eV/atom

The structure in CIF format:
```
data_DyPt
_symmetry_space_group_name_H-M 'F -4 3 m'
_symmetry_Int_Tables_number 216
_symmetry_space_group_name_Hall 'F -4 2 3'
_cell_length_a 6.312
_cell_length_b 6.312
_cell_length_c 6.312
_cell_angle_alpha 90.00
_cell_angle_beta 90.00
_cell_angle_gamma 90.00
loop_
_atom_site_label
_atom_site_type_symbol
_atom_site_fract_x
_atom_site_fract_y
_atom_site_fract_z
Dy1 Dy 0.000 0.000 0.000
Pt1 Pt 0.250 0.250 0.750
```



No. 2
DFT (GGA-PBE) results for crystalline ZrUGe at its relaxed geometry.

Calculated values
total moment	12.96	μB per cell
calculated total energy	-7.98	eV/atom

The structure in CIF format:
```
data_ZrUGe
_symmetry_space_group_name_H-M 'F -4 3 m'
_symmetry_Int_Tables_number 216
_symmetry_space_group_name_Hall 'F -4 2 3'
_cell_length_a 6.589
_cell_length_b 6.589
_cell_length_c 6.589
_cell_angle_alpha 90.00
_cell_angle_beta 90.00
_cell_angle_gamma 90.00
loop_
_atom_site_label
_atom_site_type_symbol
_atom_site_fract_x
_atom_site_fract_y
_atom_site_fract_z
Zr1 Zr 0.000 0.000 0.000
U1 U 0.000 0.000 0.500
Ge1 Ge 0.250 0.250 0.750
```



No. 3
DFT (GGA-PBE) results for crystalline Sc2GaTc at its relaxed geometry.

Calculated values
total moment	0.03	μB per cell
calculated total energy	-6.97	eV/atom

The structure in CIF format:
```
data_Sc2GaTc
_symmetry_space_group_name_H-M 'P 4/m m m'
_symmetry_Int_Tables_number 123
_symmetry_space_group_name_Hall '-P 4 2'
_cell_length_a 3.354
_cell_length_b 3.354
_cell_length_c 6.397
_cell_angle_alpha 90.00
_cell_angle_beta 90.00
_cell_angle_gamma 90.00
loop_
_atom_site_label
_atom_site_type_symbol
_atom_site_fract_x
_atom_site_fract_y
_atom_site_fract_z
Sc1 Sc 0.000 0.000 0.233
Ga1 Ga 0.500 0.500 0.500
Tc1 Tc 0.500 0.500 0.000
```